# Rb2Hg6Pd | Alexandria | PBE | optimized geometry
data_Rb2Hg6Pd
_cell_length_a 10.3448
_cell_length_b 10.3448
_cell_length_c 10.3448
_cell_angle_alpha 90.00
_cell_angle_beta 90.00
_cell_angle_gamma 90.00
_space_group_name_H-M_alt 'F m -3 m'
_space_group_IT_number 225
_space_group_name_Hall '-F 4 2 3'
loop_
_atom_site_label
_atom_site_type_symbol
_atom_site_fract_x
_atom_site_fract_y
_atom_site_fract_z
Rb1 Rb 0.2500 0.2500 0.2500
Hg1 Hg 0.0000 0.0000 0.2283
Pd1 Pd 0.0000 0.0000 0.5000
# M_tot: 0.000 μB/f.u.
# Crystal system: cubic
# Total energy: -1.191 eV/atom

=====

# RbHgPd | Alexandria | PBE | optimized geometry
data_RbHgPd
_cell_length_a 4.6358
_cell_length_b 12.3304
_cell_length_c 6.2109
_cell_angle_alpha 90.00
_cell_angle_beta 90.00
_cell_angle_gamma 90.00
_space_group_name_H-M_alt 'A m m 2'
_space_group_IT_number 38
loop_
_space_group_symop_operation_xyz
'x,y,z'
'-x,-y,z'
'-x,y,z'
'x,-y,z'
'x,y+1/2,z+1/2'
'-x,-y+1/2,z+1/2'
'-x,y+1/2,z+1/2'
'x,-y+1/2,z+1/2'
loop_
_atom_site_label
_atom_site_type_symbol
_atom_site_fract_x
_atom_site_fract_y
_atom_site_fract_z
Rb1 Rb 0.0000 0.0000 0.0000
Rb2 Rb 0.5000 0.0000 0.4994
Hg1 Hg 0.0000 0.2490 0.7441
Pd1 Pd 0.5000 0.2353 0.9941
# M_tot: 0.000 μB/f.u.
# Crystal system: orthorhombic
# Total energy: -2.316 eV/atom

=====

# Rb12Hg3Pd5 | Alexandria | PBE | optimized geometry
data_Rb12Hg3Pd5
_cell_length_a 20.7058
_cell_length_b 20.7058
_cell_length_c 20.7058
_cell_angle_alpha 90.00
_cell_angle_beta 90.00
_cell_angle_gamma 90.00
_space_group_name_H-M_alt 'I a -3 d'
_space_group_IT_number 230
_space_group_name_Hall '-I 4bd 2c 3'
loop_
_atom_site_label
_atom_site_type_symbol
_atom_site_fract_x
_atom_site_fract_y
_atom_site_fract_z
Rb1 Rb 0.0354 0.0590 0.6447
Hg1 Hg 0.0000 0.2500 0.1250
Pd1 Pd 0.0000 0.0000 0.0000
Pd2 Pd 0.0000 0.2500 0.3750
# M_tot: 0.000 μB/f.u.
# Crystal system: cubic
# Total energy: -1.776 eV/atom

=====

# Rb5Hg5Pd | Alexandria | PBE | optimized geometry
data_Rb5Hg5Pd
_cell_length_a 5.4211
_cell_length_b 17.2044
_cell_length_c 10.2674
_cell_angle_alpha 90.00
_cell_angle_beta 90.00
_cell_angle_gamma 90.00
_space_group_name_H-M_alt 'C m m m'
_space_group_IT_number 65
_space_group_name_Hall '-C 2 2'
loop_
_atom_site_label
_atom_site_type_symbol
_atom_site_fract_x
_atom_site_fract_y
_atom_site_fract_z
Rb1 Rb 0.0000 0.0000 0.0000
Rb2 Rb 0.0000 0.3542 0.2618
Hg1 Hg 0.0000 0.1628 0.5000
Hg2 Hg 0.0000 0.2085 0.0000
Hg3 Hg 0.0000 0.5000 0.5000
Pd1 Pd 0.0000 0.0000 0.5000
# M_tot: 0.000 μB/f.u.
# Crystal system: orthorhombic
# Total energy: -1.218 eV/atom

=====

# Rb3Hg2Pd2 | Alexandria | PBE | optimized geometry
data_Rb3Hg2Pd2
_cell_length_a 6.7794
_cell_length_b 9.5416
_cell_length_c 14.7076
_cell_angle_alpha 90.00
_cell_angle_beta 90.00
_cell_angle_gamma 90.00
_space_group_name_H-M_alt 'P b c m'
_space_group_IT_number 57
loop_
_space_group_symop_operation_xyz
'x,y,z'
'-x,-y,-z'
'-x,-y,z+1/2'
'x,y,-z+1/2'
'x,-y+1/2,-z'
'-x,y+1/2,z'
'-x,y+1/2,-z+1/2'
'x,-y+1/2,z+1/2'
loop_
_atom_site_label
_atom_site_type_symbol
_atom_site_fract_x
_atom_site_fract_y
_atom_site_fract_z
Rb1 Rb 0.1300 0.1178 0.0982
Rb2 Rb 0.3308 0.7176 0.7500
Hg1 Hg 0.2241 0.0662 0.7500
Hg2 Hg 0.4110 0.7500 0.0000
Pd1 Pd 0.3873 0.0178 0.5795
# M_tot: 0.000 μB/f.u.
# Crystal system: orthorhombic
# Total energy: -2.135 eV/atom

=====

# RbHg3Pd3 | Alexandria | PBE | optimized geometry
data_RbHg3Pd3
_cell_length_a 7.5752
_cell_length_b 7.5752
_cell_length_c 7.5752
_cell_angle_alpha 90.00
_cell_angle_beta 90.00
_cell_angle_gamma 90.00
_space_group_name_H-M_alt 'P m -3 n'
_space_group_IT_number 223
_space_group_name_Hall '-P 4n 2 3'
loop_
_atom_site_label
_atom_site_type_symbol
_atom_site_fract_x
_atom_site_fract_y
_atom_site_fract_z
Rb1 Rb 0.0000 0.0000 0.0000
Hg1 Hg 0.0000 0.2500 0.5000
Pd1 Pd 0.0000 0.5000 0.2500
# M_tot: 0.000 μB/f.u.
# Crystal system: cubic
# Total energy: -2.404 eV/atom